Material: RbGeTe2O8
Method: DFT, PBE
State: relaxed

Properties
As for the crystal system: trigonal. Its energy is -5.360 eV/atom. The density is 4.14 g/cm³. The magnetization is 0.0 Bohr magnetons per cell. The value obtained for the energy relative to the elements, uncorrected is -1.07 eV per atom. The space-group type is P-3. Its density of states at the Fermi level is 0.2798 states/eV per atom.

extended XYZ file:
```
12
Lattice="5.302 0.000 0.000 -2.651 4.591 0.000 0.000 0.000 8.920" Properties=species:S:1:pos:R:3 pbc="T T T"
Rb 0.000 0.000 0.000
Ge 0.000 0.000 4.460
Te 0.000 3.061 6.114
Te 2.651 1.530 2.806
O -0.734 1.358 5.609
O -1.107 4.548 5.609
O 0.809 1.315 3.311
O 0.000 3.061 7.937
O 2.651 1.530 0.983
O 1.842 3.277 5.609
O 3.758 0.043 3.311
O 3.385 3.233 3.311
```